Record 1
DFT (PBE) results for a relaxed Cr2ReAg crystal.

- E above lowest polymorph: 305 meV/atom
- Total magnetic moment: 1.991 μB/f.u.
- Density: 11.4 g/cm3
- Formation energy from the elements: 2.7 eV per formula unit

Lattice parameters (Å, degrees): 6.146 6.146 6.146 90.00 90.00 90.00
Space group F-43m (No. 216)
Unique sites:
Cr (0.000, 0.000, 0.000)
Cr (0.250, 0.250, 0.250)
Re (0.250, 0.250, 0.750)
Ag (0.000, 0.000, 0.500)

Record 2
DFT (PBE) results for a relaxed Cr2ReAg crystal.

- E above lowest polymorph: 242 meV/atom
- Total magnetic moment: 0.395 μB/f.u.
- Density: 11.8 g/cm3
- Formation energy from the elements: 2.4 eV per formula unit

Lattice parameters (Å, degrees): 3.805 3.805 7.751 90.00 90.00 90.00
Space group I-4m2 (No. 119)
Unique sites:
Cr (0.000, 0.000, 0.000)
Cr (0.000, 0.500, 0.250)
Re (0.000, 0.500, 0.750)
Ag (0.000, 0.000, 0.500)

Record 3
DFT (PBE) results for a relaxed CrReAg2 crystal.

- E above lowest polymorph: 133 meV/atom
- Total magnetic moment: 0.000 μB/f.u.
- Density: 11.8 g/cm3
- Formation energy from the elements: 2.0 eV per formula unit

Lattice parameters (Å, degrees): 2.771 3.783 6.087 90.00 93.66 90.00
Space group Pm (No. 6)
Unique sites:
Cr (0.000, 0.000, 0.000)
Re (0.349, 0.500, 0.179)
Ag (0.447, 0.500, 0.724)
Ag (0.909, 0.000, 0.462)

Record 4
DFT (PBE) results for a relaxed CrRe2Ag crystal.

- E above lowest polymorph: 16 meV/atom
- Total magnetic moment: 0.000 μB/f.u.
- Density: 14.7 g/cm3
- Formation energy from the elements: 1.4 eV per formula unit

Lattice parameters (Å, degrees): 3.010 4.381 9.104 90.00 90.00 90.00
Space group Cmmm (No. 65)
Unique sites:
Cr (0.000, 0.000, 0.000)
Re (0.000, 0.500, 0.223)
Ag (0.000, 0.000, 0.500)

Record 5
DFT (PBE) results for a relaxed CrRe2Ag crystal.

- E above lowest polymorph: 97 meV/atom
- Total magnetic moment: 0.008 μB/f.u.
- Density: 14.6 g/cm3
- Formation energy from the elements: 1.8 eV per formula unit

Lattice parameters (Å, degrees): 3.033 4.416 9.037 90.00 90.00 90.00
Space group Cmm2 (No. 35)
Unique sites:
Cr (0.000, 0.000, 0.000)
Re (0.000, 0.000, 0.537)
Re (0.000, 0.500, 0.784)
Ag (0.000, 0.500, 0.260)

Record 6
DFT (PBE) results for a relaxed Cr2ReAg crystal.

- E above lowest polymorph: 79 meV/atom
- Total magnetic moment: 0.000 μB/f.u.
- Density: 11.1 g/cm3
- Formation energy from the elements: 1.8 eV per formula unit

Lattice parameters (Å, degrees): 2.807 3.767 5.616 90.00 90.00 90.00
Space group Pmmm (No. 47)
Unique sites:
Cr (0.000, 0.000, 0.191)
Re (0.500, 0.500, 0.000)
Ag (0.500, 0.500, 0.500)

Record 7
DFT (PBE) results for a relaxed CrReAg2 crystal.

- E above lowest polymorph: 248 meV/atom
- Total magnetic moment: 2.836 μB/f.u.
- Density: 11.7 g/cm3
- Formation energy from the elements: 2.5 eV per formula unit

Lattice parameters (Å, degrees): 9.175 2.744 5.159 90.00 98.60 90.00
Space group Cm (No. 8)
Unique sites:
Cr (0.000, 0.000, 0.000)
Re (0.240, 0.500, 0.188)
Ag (0.248, 0.000, 0.706)
Ag (0.494, 0.000, 0.474)

Record 8
DFT (PBE) results for a relaxed CrReAg2 crystal.

- E above lowest polymorph: 0 meV/atom
- Total magnetic moment: 0.001 μB/f.u.
- Density: 11.9 g/cm3
- Formation energy from the elements: 1.5 eV per formula unit

Lattice parameters (Å, degrees): 3.010 4.538 9.263 90.00 90.00 90.00
Space group Cmm2 (No. 35)
Unique sites:
Cr (0.000, 0.000, 0.000)
Re (0.000, 0.500, 0.203)
Ag (0.000, 0.000, 0.476)
Ag (0.000, 0.500, 0.745)